(1)
ReIr2Pt after structural relaxation, computed with GGA-PBEsol.

Calculated values
Its formation energy is -118 meV/atom.

a = 2.7210 Å, b = 3.8459 Å, c = 5.4884 Å
α = 90.00°, β = 90.00°, γ = 90.00°
Closest atoms and distances in Å follow each position.
Fractional positions:
Re: 0.0000 0.0000 0.0000  8 Ir 2.70, 2 Re 2.72, 2 Pt 2.74
Ir: 0.5000 0.5000 0.2416  4 Ir 2.65-2.84, 4 Re 2.70, 4 Pt 2.75
Ir: 0.5000 0.5000 0.7584  4 Ir 2.65-2.84, 4 Re 2.70, 4 Pt 2.75
Pt: 0.0000 0.0000 0.5000  2 Pt 2.72, 2 Re 2.74, 8 Ir 2.75

***

(2)
Tl2InBTe after structural relaxation, computed with GGA-PBEsol.

Calculated values
Its raw formation energy is 0.51 eV/atom.

a = 4.7989 Å, b = 4.7989 Å, c = 5.3840 Å
α = 90.00°, β = 90.00°, γ = 90.00°
Closest atoms and distances in Å follow each position.
Fractional positions:
Tl: 0.0000 0.5000 0.0000  2 B 2.40
Tl: 0.5000 0.0000 0.0000  2 B 2.40
In: 0.0000 0.0000 0.5000  4 Te 3.39, 8 Tl 3.61
B: 0.5000 0.5000 0.0000  4 Tl 2.40
Te: 0.5000 0.5000 0.5000  2 B 2.69

***

(3)
Y5Ge10Ir4 after structural relaxation, computed with GGA-PBEsol.

Calculated values
Its formation energy is -841 meV/atom.

a = 12.8729 Å, b = 12.8729 Å, c = 4.2941 Å
α = 90.00°, β = 90.00°, γ = 90.00°
Closest atoms and distances in Å follow each position.
Fractional positions:
Y: 0.0000 0.0000 0.0000  8 Ge 2.95, 4 Ir 3.18
Y: 0.1155 0.3845 0.5000  10 Ge 3.24-3.31, 4 Ir 3.29
Y: 0.1737 0.6737 0.5000  8 Ge 2.89-3.09, 4 Ir 3.10
Y: 0.3263 0.1737 0.5000  8 Ge 2.89-3.09, 4 Ir 3.10
Y: 0.3845 0.8845 0.5000  10 Ge 3.24-3.31, 4 Ir 3.29
Y: 0.5000 0.5000 0.0000  8 Ge 2.95, 4 Ir 3.18
Y: 0.6155 0.1155 0.5000  10 Ge 3.24-3.31, 4 Ir 3.29
Y: 0.6737 0.8263 0.5000  8 Ge 2.89-3.09, 4 Ir 3.10
Y: 0.8263 0.3263 0.5000  8 Ge 2.89-3.09, 4 Ir 3.10
Y: 0.8845 0.6155 0.5000  10 Ge 3.24-3.31, 4 Ir 3.29
Ge: 0.0038 0.8434 0.5000  2 Ir 2.45
Ge: 0.0671 0.5671 0.0000  1 Ge 2.44, 2 Ir 2.48
Ge: 0.1566 0.0038 0.5000  2 Ir 2.45
Ge: 0.1639 0.1991 0.0000  2 Ir 2.44-2.54, 1 Ge 2.49
Ge: 0.1991 0.8361 0.0000  2 Ir 2.44-2.54, 1 Ge 2.49
Ge: 0.3009 0.3361 0.0000  2 Ir 2.44-2.54, 1 Ge 2.49
Ge: 0.3361 0.6991 0.0000  2 Ir 2.44-2.54, 1 Ge 2.49
Ge: 0.3434 0.5038 0.5000  2 Ir 2.45
Ge: 0.4329 0.0671 0.0000  1 Ge 2.44, 2 Ir 2.48
Ge: 0.4962 0.3434 0.5000  2 Ir 2.45
Ge: 0.5038 0.6566 0.5000  2 Ir 2.45
Ge: 0.5671 0.9329 0.0000  1 Ge 2.44, 2 Ir 2.48
Ge: 0.6566 0.4962 0.5000  2 Ir 2.45
Ge: 0.6639 0.3009 0.0000  2 Ir 2.44-2.54, 1 Ge 2.49
Ge: 0.6991 0.6639 0.0000  2 Ir 2.44-2.54, 1 Ge 2.49
Ge: 0.8009 0.1639 0.0000  2 Ir 2.44-2.54, 1 Ge 2.49
Ge: 0.8361 0.8009 0.0000  2 Ir 2.44-2.54, 1 Ge 2.49
Ge: 0.8434 0.9962 0.5000  2 Ir 2.45
Ge: 0.9329 0.4329 0.0000  1 Ge 2.44, 2 Ir 2.48
Ge: 0.9962 0.1566 0.5000  2 Ir 2.45
Ir: 0.0197 0.7537 0.0000  5 Ge 2.44-2.54
Ir: 0.2463 0.0197 0.0000  5 Ge 2.44-2.54
Ir: 0.2537 0.5197 0.0000  5 Ge 2.44-2.54
Ir: 0.4803 0.2537 0.0000  5 Ge 2.44-2.54
Ir: 0.5197 0.7463 0.0000  5 Ge 2.44-2.54
Ir: 0.7463 0.4803 0.0000  5 Ge 2.44-2.54
Ir: 0.7537 0.9803 0.0000  5 Ge 2.44-2.54
Ir: 0.9803 0.2463 0.0000  5 Ge 2.44-2.54

***

(4)
LiMoP2O7 after structural relaxation, computed with GGA-PBEsol.

Calculated values
Its raw formation energy is -2.06 eV/atom.

a = 6.4373 Å, b = 6.4477 Å, c = 6.8437 Å
α = 84.19°, β = 66.72°, γ = 82.00°
Closest atoms and distances in Å follow each position.
Fractional positions:
Li: 0.2010 0.0102 0.3293  3 O 1.94-2.01
Li: 0.7990 0.9898 0.6707  3 O 1.94-2.01
Mo: 0.4078 0.3500 0.7205  6 O 2.06-2.17
Mo: 0.5922 0.6500 0.2795  6 O 2.06-2.17
P: 0.1487 0.6096 0.1507  4 O 1.51-1.62
P: 0.2797 0.8669 0.7360  4 O 1.50-1.59
P: 0.7203 0.1331 0.2640  4 O 1.50-1.59
P: 0.8513 0.3904 0.8493  4 O 1.51-1.62
O: 0.0952 0.4107 0.6991  1 P 1.51
O: 0.1190 0.9573 0.6327  1 P 1.50
O: 0.1278 0.7814 0.9682  2 P 1.59-1.62
O: 0.2744 0.4071 0.0417  1 P 1.53
O: 0.2761 0.7062 0.2594  1 P 1.53
O: 0.4299 0.0216 0.7588  1 P 1.54
O: 0.4435 0.6719 0.6226  1 P 1.57
O: 0.5565 0.3281 0.3774  1 P 1.57
O: 0.5701 0.9784 0.2412  1 P 1.54
O: 0.7239 0.2938 0.7406  1 P 1.53
O: 0.7256 0.5929 0.9583  1 P 1.53
O: 0.8722 0.2186 0.0319  2 P 1.59-1.62
O: 0.8810 0.0427 0.3673  1 P 1.50
O: 0.9048 0.5893 0.3009  1 P 1.51

***

(5)
ZnRePb after structural relaxation, computed with GGA-PBEsol.

Calculated values
Its formation energy is 1276 meV/atom.

a = 4.3365 Å, b = 4.3365 Å, c = 4.3365 Å
α = 60.00°, β = 60.00°, γ = 60.00°
Closest atoms and distances in Å follow each position.
Fractional positions:
Zn: 0.0000 0.0000 0.0000  4 Pb 2.66, 4 Re 2.66
Re: 0.7500 0.7500 0.7500  4 Zn 2.66
Pb: 0.2500 0.2500 0.2500  4 Zn 2.66

***

(6)
ZnSb2Ir after structural relaxation, computed with GGA-PBEsol.

Calculated values
Its raw formation energy is 0.32 eV/atom.

a = 4.5045 Å, b = 4.5045 Å, c = 3.7348 Å
α = 90.00°, β = 90.00°, γ = 90.00°
Closest atoms and distances in Å follow each position.
Fractional positions:
Zn: 0.0000 0.0000 0.0000  8 Sb 2.93, 4 Ir 3.19
Sb: 0.0000 0.5000 0.5000  4 Ir 2.93, 4 Zn 2.93, 4 Sb 3.19
Sb: 0.5000 0.0000 0.5000  4 Ir 2.93, 4 Zn 2.93, 4 Sb 3.19
Ir: 0.5000 0.5000 0.0000  8 Sb 2.93, 4 Zn 3.19

***

Values of calculated volume, in order: 14.36; 24.80; 18.73; 11.73; 19.22; 18.94, all in Å³ per atom.
Values of M_tot, in order: 0.000; 0.000; 0.000; 3.000; 0.783; 0.000, all in μB per formula unit.